# 1
Compound: Sm2DyIn9
Source: the Alexandria database
Functional: PBE
Structure: optimized geometry

```
Sm2DyIn9
1.0
4.669 0.000 0.000
0.000 4.669 0.000
0.000 0.000 14.003
In Sm Dy
9 2 1
Direct
0.500 0.500 0.000
0.500 0.000 0.500
0.500 0.000 0.835
0.500 0.500 0.333
0.500 0.500 0.667
0.000 0.500 0.165
0.500 0.000 0.165
0.000 0.500 0.835
0.000 0.500 0.500
0.000 0.000 0.668
0.000 0.000 0.332
0.000 0.000 0.000
```

Calculated values
Total DFT energy (no corrections) = -44.0 eV for the cell shown
E_form = -444 meV/atom
SG = P4/mmm, No. 123
Crystal system = tetragonal

***

# 2
Compound: Sm4Dy5In
Source: the Alexandria database
Functional: PBE
Structure: optimized geometry

```
Sm4Dy5In
1.0
-3.163 2.339 4.302
3.613 -1.035 7.169
2.059 7.726 1.263
Dy Sm In
5 4 1
Direct
0.141 0.000 0.630
0.771 0.370 0.000
0.668 0.000 0.000
0.771 0.000 0.370
0.141 0.630 0.000
0.147 0.312 0.312
0.771 0.688 0.688
0.459 0.688 0.312
0.459 0.312 0.688
0.184 0.000 0.000
```

Calculated values
Total DFT energy (no corrections) = -43.7 eV for the cell shown
E_form = 92 meV/atom
SG = I4mm, No. 107
Crystal system = tetragonal
E above lowest polymorph = 0.078 eV per atom

***

# 3
Compound: SmDy6In2
Source: the Alexandria database
Functional: PBE
Structure: optimized geometry

```
SmDy6In2
1.0
-1.427 -0.480 3.441
3.087 -5.279 2.595
8.907 4.423 6.361
Sm In Dy
1 2 6
Direct
0.000 0.000 0.000
0.644 0.924 0.788
0.356 0.076 0.212
0.686 0.502 0.125
0.690 0.203 0.417
0.013 0.317 0.657
0.987 0.683 0.343
0.314 0.498 0.875
0.310 0.797 0.583
```

Calculated values
Total DFT energy (no corrections) = -39.6 eV for the cell shown
E_form = -200 meV/atom
SG = C2/m, No. 12
Crystal system = monoclinic
E above lowest polymorph = 0.000 eV per atom

***

# 4
Compound: SmDy2In
Source: the Alexandria database
Functional: PBE
Structure: optimized geometry

```
SmDy2In
1.0
-1.181 -3.095 1.438
2.365 -2.487 1.123
0.492 2.692 10.736
In Dy Sm
1 2 1
Direct
0.666 0.666 0.001
0.256 0.256 0.231
0.077 0.077 0.768
0.500 0.500 0.500
```

Calculated values
Total DFT energy (no corrections) = -17.2 eV for the cell shown
E_form = -137 meV/atom
SG = R3m, No. 160
Crystal system = trigonal
E above lowest polymorph = 0.130 eV per atom

***

# 5
Compound: Sm6DyIn5
Source: the Alexandria database
Functional: PBE
Structure: optimized geometry

```
Sm6DyIn5
1.0
-3.365 0.392 3.725
-3.775 -7.746 -2.595
8.243 -0.149 4.058
Sm In Dy
6 5 1
Direct
0.500 0.732 0.000
0.830 0.091 0.659
0.500 0.268 0.000
0.830 0.568 0.659
0.170 0.432 0.341
0.170 0.909 0.341
0.674 0.674 0.348
0.000 0.500 0.000
0.652 0.152 0.305
0.348 0.848 0.695
0.326 0.326 0.652
0.000 0.000 0.000
```

Calculated values
Total DFT energy (no corrections) = -51.3 eV for the cell shown
E_form = -394 meV/atom
SG = Immm, No. 71
Crystal system = orthorhombic
E above lowest polymorph = 0.000 eV per atom

***

# 6
Compound: Sm2DyIn
Source: the Alexandria database
Functional: PBE
Structure: optimized geometry

```
Sm2DyIn
1.0
5.513 0.000 0.000
2.757 4.775 0.000
2.757 1.592 4.502
Sm In Dy
2 1 1
Direct
0.000 0.000 0.000
0.250 0.250 0.250
0.750 0.750 0.750
0.500 0.500 0.500
```

Calculated values
Total DFT energy (no corrections) = -17.2 eV for the cell shown
E_form = -117 meV/atom
SG = F-43m, No. 216
Crystal system = cubic
E above lowest polymorph = 0.152 eV per atom

***

# 7
Compound: Sm5DyIn4
Source: the Alexandria database
Functional: PBE
Structure: optimized geometry

```
Sm5DyIn4
1.0
3.589 0.000 0.000
0.000 3.589 0.000
0.000 0.000 22.580
Sm In Dy
5 4 1
Direct
0.500 0.500 0.500
0.500 0.500 0.115
0.500 0.500 0.307
0.500 0.500 0.693
0.500 0.500 0.885
0.000 0.000 0.597
0.000 0.000 0.789
0.000 0.000 0.211
0.000 0.000 0.403
0.000 0.000 0.000
```

Calculated values
Total DFT energy (no corrections) = -42.9 eV for the cell shown
E_form = -377 meV/atom
SG = P4/mmm, No. 123
Crystal system = tetragonal

***

# 8
Compound: Sm5Dy6In
Source: the Alexandria database
Functional: PBE
Structure: optimized geometry

```
Sm5Dy6In
1.0
-1.446 -3.905 2.732
8.700 -2.063 -2.880
0.779 7.130 6.066
In Dy Sm
1 6 5
Direct
0.000 0.000 0.000
0.257 0.757 0.757
0.743 0.243 0.243
0.755 0.590 0.920
0.245 0.410 0.080
0.245 0.080 0.410
0.755 0.920 0.590
0.000 0.337 0.663
0.000 0.663 0.337
0.500 0.167 0.833
0.500 0.500 0.500
0.500 0.833 0.167
```

Calculated values
Total DFT energy (no corrections) = -54.6 eV for the cell shown
E_form = -53 meV/atom
SG = Immm, No. 71
Crystal system = orthorhombic

***

# 9
Compound: SmDy2In
Source: the Alexandria database
Functional: PBE
Structure: optimized geometry

```
SmDy2In
1.0
-3.538 -1.926 -3.708
0.473 -5.141 -1.822
-3.700 -3.767 1.445
In Sm Dy
1 1 2
Direct
0.500 0.500 0.500
0.000 0.000 0.000
0.250 0.250 0.250
0.750 0.750 0.750
```

Calculated values
Total DFT energy (no corrections) = -17.1 eV for the cell shown
E_form = -105 meV/atom
SG = Fm-3m, No. 225
Crystal system = cubic
E above lowest polymorph = 0.161 eV per atom

***

# 10
Compound: Sm3Dy12In
Source: the Alexandria database
Functional: PBE
Structure: optimized geometry

```
Sm3Dy12In
1.0
4.971 0.000 0.000
0.000 4.971 0.000
0.000 0.000 20.177
Dy Sm In
12 3 1
Direct
0.500 0.500 0.756
0.500 0.500 0.244
0.500 0.000 0.373
0.000 0.500 0.120
0.500 0.500 0.000
0.500 0.000 0.880
0.500 0.000 0.627
0.500 0.500 0.500
0.500 0.000 0.120
0.000 0.500 0.627
0.000 0.500 0.373
0.000 0.500 0.880
0.000 0.000 0.752
0.000 0.000 0.500
0.000 0.000 0.248
0.000 0.000 0.000
```

Calculated values
Total DFT energy (no corrections) = -72.8 eV for the cell shown
E_form = -43 meV/atom
SG = P4/mmm, No. 123
Crystal system = tetragonal

***

# 11
Compound: Sm3Dy2In3
Source: the Alexandria database
Functional: PBE
Structure: optimized geometry

```
Sm3Dy2In3
1.0
5.330 0.000 0.000
0.000 6.192 -1.011
-2.665 -3.334 7.862
Sm Dy In
3 2 3
Direct
0.378 0.793 0.755
0.622 0.207 0.245
0.500 0.500 0.000
0.767 0.848 0.534
0.233 0.152 0.466
0.153 0.562 0.305
0.847 0.438 0.695
0.000 0.000 0.000
```

Calculated values
Total DFT energy (no corrections) = -33.4 eV for the cell shown
E_form = -226 meV/atom
SG = C2/m, No. 12
Crystal system = monoclinic
E above lowest polymorph = 0.142 eV per atom

***

# 12
Compound: Sm5Dy2In4
Source: the Alexandria database
Functional: PBE
Structure: optimized geometry

```
Sm5Dy2In4
1.0
-2.391 -1.346 -2.138
0.576 -7.626 4.158
-9.541 8.643 8.060
Dy Sm In
2 5 4
Direct
0.904 0.904 0.808
0.096 0.096 0.192
0.799 0.997 0.599
0.201 0.398 0.401
0.799 0.602 0.599
0.201 0.003 0.401
0.500 0.000 0.000
0.000 0.324 0.000
0.698 0.698 0.396
0.000 0.676 0.000
0.302 0.302 0.604
```

Calculated values
Total DFT energy (no corrections) = -40.3 eV for the cell shown
E_form = 315 meV/atom
SG = Immm, No. 71
Crystal system = orthorhombic
E above lowest polymorph = 0.593 eV per atom

***

# 13
Compound: SmDyIn6
Source: the Alexandria database
Functional: PBE
Structure: optimized geometry

```
SmDyIn6
1.0
-1.111 2.454 -3.805
-4.473 -1.202 0.531
-1.402 7.551 5.278
In Sm Dy
6 1 1
Direct
0.500 0.000 0.747
0.500 0.500 0.000
0.500 0.500 0.500
0.000 0.500 0.253
0.000 0.500 0.747
0.500 0.000 0.253
0.000 0.000 0.000
0.000 0.000 0.500
```

Calculated values
Total DFT energy (no corrections) = -29.2 eV for the cell shown
E_form = -437 meV/atom
SG = P4/mmm, No. 123
Crystal system = tetragonal
E above lowest polymorph = 0.000 eV per atom

***

# 14
Compound: Sm2Dy6In
Source: the Alexandria database
Functional: PBE
Structure: optimized geometry

```
Sm2Dy6In
1.0
3.490 0.000 -0.147
0.000 10.173 0.000
-1.405 -5.086 8.033
Sm Dy In
2 6 1
Direct
0.153 0.653 0.306
0.847 0.347 0.694
0.823 0.661 0.646
0.823 0.985 0.646
0.500 0.701 0.000
0.177 0.339 0.354
0.500 0.299 0.000
0.177 0.015 0.354
0.000 0.000 0.000
```

Calculated values
Total DFT energy (no corrections) = -40.0 eV for the cell shown
E_form = -18 meV/atom
SG = Immm, No. 71
Crystal system = orthorhombic
E above lowest polymorph = 0.010 eV per atom

***

# 15
Compound: SmDyIn
Source: the Alexandria database
Functional: PBE
Structure: optimized geometry

```
SmDyIn
1.0
3.674 0.000 0.000
0.000 5.266 0.000
0.000 -2.633 4.560
Dy Sm In
1 1 1
Direct
0.406 0.333 0.667
0.963 0.000 0.000
0.631 0.667 0.333
```

Calculated values
Total DFT energy (no corrections) = -12.8 eV for the cell shown
E_form = -236 meV/atom
SG = P3m1, No. 156
Crystal system = trigonal
E above lowest polymorph = 0.067 eV per atom

***

# 16
Compound: Sm3Dy5In
Source: the Alexandria database
Functional: PBE
Structure: optimized geometry

```
Sm3Dy5In
1.0
-5.644 -2.544 3.837
1.276 -7.004 1.540
6.236 4.597 9.863
Dy Sm In
10 6 2
Direct
0.458 0.458 0.743
0.324 0.676 0.000
0.542 0.542 0.257
0.249 0.249 0.948
0.751 0.751 0.052
0.521 0.909 0.804
0.479 0.091 0.196
0.676 0.324 0.000
0.909 0.521 0.804
0.091 0.479 0.196
0.000 0.000 0.000
0.044 0.044 0.255
0.000 0.000 0.500
0.956 0.956 0.745
0.334 0.334 0.455
0.666 0.666 0.545
0.205 0.205 0.670
0.795 0.795 0.330
```

Calculated values
Total DFT energy (no corrections) = -74.4 eV for the cell shown
E_form = 300 meV/atom
SG = C2/m, No. 12
Crystal system = monoclinic

***

# 17
Compound: Sm4Dy3In
Source: the Alexandria database
Functional: PBE
Structure: optimized geometry

```
Sm4Dy3In
1.0
-0.716 -2.172 -11.087
-1.223 -7.126 -4.272
-7.011 1.056 0.246
Sm Dy In
8 6 2
Direct
0.873 0.140 0.500
0.255 0.858 0.000
0.602 0.664 0.247
0.018 0.332 0.759
0.767 0.828 0.500
0.602 0.664 0.753
0.018 0.332 0.241
0.361 0.179 0.000
0.112 0.667 0.258
0.112 0.667 0.742
0.777 0.849 0.000
0.525 0.338 0.747
0.525 0.338 0.253
0.352 0.155 0.500
0.858 0.163 0.000
0.272 0.828 0.500
```

Calculated values
Total DFT energy (no corrections) = -72.6 eV for the cell shown
E_form = -108 meV/atom
SG = Pm, No. 6
Crystal system = monoclinic
E above lowest polymorph = 0.000 eV per atom

***

# 18
Compound: SmDyIn
Source: the Alexandria database
Functional: PBE
Structure: optimized geometry

```
SmDyIn
1.0
5.562 2.204 -0.509
3.300 4.932 -0.915
1.498 1.822 3.895
In Dy Sm
1 1 1
Direct
0.886 0.476 0.915
0.536 0.126 0.265
0.226 0.815 0.575
```

Calculated values
Total DFT energy (no corrections) = -12.9 eV for the cell shown
E_form = -276 meV/atom
SG = Imm2, No. 44
Crystal system = orthorhombic
E above lowest polymorph = 0.026 eV per atom

***

# 19
Compound: SmDy2In
Source: the Alexandria database
Functional: PBE
Structure: optimized geometry

```
SmDy2In
1.0
4.856 0.000 0.000
0.000 4.883 0.000
0.000 0.000 4.883
Dy Sm In
2 1 1
Direct
0.000 0.000 0.500
0.000 0.500 0.000
0.500 0.500 0.500
0.500 0.000 0.000
```

Calculated values
Total DFT energy (no corrections) = -17.7 eV for the cell shown
E_form = -266 meV/atom
SG = P4/mmm, No. 123
Crystal system = tetragonal
E above lowest polymorph = 0.000 eV per atom

***

# 20
Compound: SmDy3In2
Source: the Alexandria database
Functional: PBE
Structure: optimized geometry

```
SmDy3In2
1.0
-1.686 2.986 0.059
-4.763 -2.712 1.136
4.967 0.664 8.623
In Sm Dy
2 1 3
Direct
0.356 0.356 0.713
0.644 0.644 0.287
0.000 0.000 0.000
0.190 0.190 0.379
0.000 0.500 0.000
0.810 0.810 0.621
```

Calculated values
Total DFT energy (no corrections) = -23.5 eV for the cell shown
E_form = 89 meV/atom
SG = Immm, No. 71
Crystal system = orthorhombic
E above lowest polymorph = 0.445 eV per atom

***

# 21
Compound: Sm4Dy3In
Source: the Alexandria database
Functional: PBE
Structure: optimized geometry

```
Sm4Dy3In
1.0
-1.943 -3.144 -4.992
5.037 -4.917 1.136
-7.165 -5.845 6.469
Sm Dy In
8 6 2
Direct
0.671 0.129 0.500
0.125 0.867 0.500
0.990 0.132 0.232
0.171 0.871 0.000
0.490 0.868 0.268
0.625 0.133 0.000
0.990 0.132 0.768
0.490 0.868 0.732
0.471 0.384 0.255
0.646 0.628 0.000
0.471 0.384 0.745
0.971 0.616 0.245
0.146 0.372 0.500
0.971 0.616 0.755
0.650 0.611 0.500
0.150 0.389 0.000
```

Calculated values
Total DFT energy (no corrections) = -72.4 eV for the cell shown
E_form = -97 meV/atom
SG = Pmn2_1, No. 31
Crystal system = orthorhombic
E above lowest polymorph = 0.011 eV per atom

***

# 22
Compound: Sm2Dy7In2
Source: the Alexandria database
Functional: PBE
Structure: optimized geometry

```
Sm2Dy7In2
1.0
3.639 0.000 0.000
1.819 10.998 0.939
1.819 6.041 9.238
Sm In Dy
2 2 7
Direct
0.500 0.396 0.604
0.000 0.737 0.263
0.745 0.856 0.654
0.255 0.346 0.144
0.369 0.713 0.549
0.137 0.123 0.603
0.838 0.052 0.271
0.863 0.397 0.877
0.162 0.729 0.948
0.500 0.055 0.945
0.631 0.451 0.287
```

Calculated values
Total DFT energy (no corrections) = -47.6 eV for the cell shown
E_form = -44 meV/atom
SG = Imm2, No. 44
Crystal system = orthorhombic

***

# 23
Compound: Sm2Dy3In
Source: the Alexandria database
Functional: PBE
Structure: optimized geometry

```
Sm2Dy3In
1.0
3.391 0.000 0.000
0.000 11.630 0.000
-1.695 -5.815 4.987
Sm Dy In
2 3 1
Direct
0.172 0.914 0.345
0.828 0.569 0.655
0.000 0.023 0.000
0.661 0.651 0.322
0.339 0.329 0.678
0.500 0.257 0.000
```

Calculated values
Total DFT energy (no corrections) = -24.4 eV for the cell shown
E_form = 258 meV/atom
SG = Imm2, No. 44
Crystal system = orthorhombic
E above lowest polymorph = 0.411 eV per atom